Computed, not measured: NdSm12Y7 after structural relaxation at the PBE level of DFT.

a b c (Å): 8.8489 8.8489 8.8489
angles (deg): 86.58 86.58 86.58
Atoms (fractional coordinates):
1 Nd 0.0000 0.0000 0.0000
2 Sm 0.1016 0.3466 0.4244
3 Sm 0.2281 0.7563 0.3531
4 Sm 0.2437 0.6469 0.7719
5 Sm 0.3466 0.4244 0.1016
6 Sm 0.3531 0.2281 0.7563
7 Sm 0.4244 0.1016 0.3466
8 Sm 0.5756 0.8984 0.6534
9 Sm 0.6469 0.7719 0.2437
10 Sm 0.6534 0.5756 0.8984
11 Sm 0.7563 0.3531 0.2281
12 Sm 0.7719 0.2437 0.6469
13 Sm 0.8984 0.6534 0.5756
14 Y 0.0038 0.3646 0.8798
15 Y 0.1202 0.9962 0.6354
16 Y 0.3646 0.8798 0.0038
17 Y 0.5000 0.5000 0.5000
18 Y 0.6354 0.1202 0.9962
19 Y 0.8798 0.0038 0.3646
20 Y 0.9962 0.6354 0.1202

N(E_F): 39.81 states/eV/cell
ΔE to the lowest computed polymorph: 0.0 kJ per mole of atoms
E_form: 0.24 eV/atom